Compound: CuPIr
Source: Alexandria via LeMat-Bulk
Functional: SCAN
Structure: PBEsol geometry

Results
Space group: No. 216
Energy relative to the elements: -0.1932 eV per atom

Cell: 3.867 3.867 3.867 Å, 60.00 60.00 60.00°
Positions (direct):
Cu: 0.000 0.000 0.000
P: 0.750 0.750 0.750
Ir: 0.500 0.500 0.500